1.
The following is a DFT calculation (GGA-PBEsol) of SbF5 after structural relaxation.

## Properties
**Fermi-level density of states**: 0.000 states/eV/f.u.
**Calculated total energy**: -0.3378 Ry per atom
**Uncorrected formation energy**: -2230 meV per atom
**Space group**: C2/c, No. 15

The structure in POSCAR format:
```
SbF5
1.0
-1.800 1.314 5.166
3.221 -4.473 -1.126
4.089 6.620 0.236
F Sb
10 2
Cartesian
5.673 1.188 -0.127
3.477 2.872 0.039
0.223 0.911 1.619
4.400 4.834 3.654
2.033 0.588 4.237
-0.163 2.272 4.402
3.390 0.565 1.337
5.287 2.550 2.656
1.110 -1.373 0.622
2.119 2.895 2.938
3.655 1.073 -0.445
0.000 0.000 0.000
```

2.
The following is a DFT calculation (GGA-PBEsol) of SbF3 after structural relaxation.

## Properties
**Fermi-level density of states**: 0.000 states/eV/f.u.
**Calculated total energy**: -0.3632 Ry per atom
**Uncorrected formation energy**: -2356 meV per atom
**Space group**: Ama2, No. 40

The structure in POSCAR format:
```
SbF3
1.0
4.384 0.036 0.000
-1.708 4.038 0.000
0.000 0.000 6.972
F Sb
6 2
Cartesian
0.884 3.961 3.045
1.183 1.271 5.229
3.284 2.384 3.927
0.696 1.590 1.743
0.884 3.961 0.441
3.284 2.384 6.531
-0.445 3.224 1.743
3.136 0.873 5.229
```

3.
The following is a DFT calculation (GGA-PBEsol) of SbF5 after structural relaxation.

## Properties
**Fermi-level density of states**: 0.000 states/eV/f.u.
**Calculated total energy**: -0.3376 Ry per atom
**Uncorrected formation energy**: -2227 meV per atom
**Space group**: P2_1/c, No. 14

The structure in POSCAR format:
```
SbF5
1.0
-0.384 -1.987 4.881
7.257 1.461 -1.301
-1.212 9.320 3.699
F Sb
20 4
Cartesian
4.808 5.036 5.354
5.278 9.012 2.221
1.991 6.592 7.374
-1.068 7.051 6.635
3.983 3.204 2.642
0.383 -0.219 5.058
1.973 1.286 2.592
1.678 5.589 4.637
0.852 3.757 1.925
6.045 6.527 3.573
-0.384 2.266 3.706
3.110 6.026 2.453
0.402 6.615 2.439
3.688 7.508 4.687
3.670 2.201 -0.095
1.001 8.150 4.696
6.729 1.742 0.644
4.660 0.644 2.583
5.259 2.178 4.840
2.551 2.767 4.826
2.038 7.079 3.562
5.479 6.785 5.340
0.182 2.008 1.939
3.622 1.714 3.717
```

4.
The following is a DFT calculation (GGA-PBEsol) of Zr2ScSbF after structural relaxation.

## Properties
**Fermi-level density of states**: 5.023 states/eV/f.u.
**Calculated total energy**: -0.4164 Ry per atom
**Uncorrected formation energy**: 589 meV per atom
**Space group**: P4/mmm, No. 123

The structure in POSCAR format:
```
Zr2ScSbF
1.0
-4.373 -0.465 -2.400
0.058 -4.937 0.852
-2.502 0.733 4.418
Zr Sb Sc F
2 1 1 1
Cartesian
-2.186 -0.233 -1.200
0.029 -2.468 0.426
-1.251 0.367 2.209
0.000 0.000 0.000
-3.409 -2.334 1.435
```

5.
The following is a DFT calculation (GGA-PBEsol) of Sb2SeF after structural relaxation.

## Properties
**Fermi-level density of states**: 1.883 states/eV/f.u.
**Calculated total energy**: -0.3118 Ry per atom
**Uncorrected formation energy**: -519 meV per atom
**Space group**: I-42d, No. 122

The structure in POSCAR format:
```
Sb2SeF
1.0
-4.123 2.996 3.313
3.044 -4.501 2.724
4.193 4.128 -1.523
F Sb Se
2 4 2
Cartesian
-0.234 3.186 2.404
-0.539 -0.753 3.018
5.395 1.699 0.562
1.694 1.682 1.548
-2.011 1.300 2.442
1.151 0.564 4.474
3.349 -0.563 2.109
0.000 0.000 0.000
```

6.
The following is a DFT calculation (GGA-PBEsol) of SiSb2TeF after structural relaxation.

## Properties
**Fermi-level density of states**: 2.578 states/eV/f.u.
**Calculated total energy**: -0.2867 Ry per atom
**Uncorrected formation energy**: 163 meV per atom
**Space group**: P4/mmm, No. 123

The structure in POSCAR format:
```
SiSb2TeF
1.0
4.709 0.000 0.000
0.000 4.709 0.000
0.000 0.000 5.192
Si Te F Sb
1 1 1 2
Cartesian
2.355 2.355 2.596
0.000 0.000 2.596
0.000 0.000 0.000
2.355 0.000 0.000
0.000 2.355 0.000
```

7.
The following is a DFT calculation (GGA-PBEsol) of SnSbTe2F after structural relaxation.

## Properties
**Fermi-level density of states**: 6.342 states/eV/f.u.
**Calculated total energy**: -0.2241 Ry per atom
**Uncorrected formation energy**: 510 meV per atom
**Space group**: P4/mmm, No. 123

The structure in POSCAR format:
```
SnSbTe2F
1.0
5.561 0.000 0.000
0.000 5.561 0.000
0.000 0.000 5.624
Te Sn F Sb
2 1 1 1
Cartesian
2.780 0.000 0.000
0.000 2.780 0.000
0.000 0.000 0.000
2.780 2.780 2.812
0.000 0.000 2.812
```

8.
The following is a DFT calculation (GGA-PBEsol) of SrSb2TeF after structural relaxation.

## Properties
**Fermi-level density of states**: 2.984 states/eV/f.u.
**Calculated total energy**: -0.2861 Ry per atom
**Uncorrected formation energy**: -611 meV per atom
**Space group**: P4/mmm, No. 123

The structure in POSCAR format:
```
SrSb2TeF
1.0
-0.992 -4.307 -0.274
2.525 -0.251 -5.195
5.038 -1.321 2.512
Sb F Te Sr
2 1 1 1
Cartesian
1.262 -0.125 -2.598
2.519 -0.660 1.256
-0.496 -2.153 -0.137
0.000 0.000 0.000
3.285 -2.939 -1.479
```

no.,spin magnetization (μB per formula unit)
1,0.00
2,0.00
3,0.00
4,0.00
5,0.00
6,0.00
7,0.00
8,0.00